# 1
Density functional theory data (PBE) for a geometry-optimized KNb2Fe structure.

The structure in CIF format:
```
data_KNb2Fe
_chemical_formula_sum 'K4 Nb8 Fe4'
_cell_length_a 6.537
_cell_length_b 6.537
_cell_length_c 6.537
_cell_angle_alpha 90.00
_cell_angle_beta 90.00
_cell_angle_gamma 90.00
_space_group_name_H-M_alt 'F m -3 m'
_space_group_IT_number 225
_space_group_name_Hall '-F 4 2 3'
loop_
_atom_site_label
_atom_site_type_symbol
_atom_site_fract_x
_atom_site_fract_y
_atom_site_fract_z
_atom_site_occupancy
K1 K 0.000 0.000 0.000 1
Nb1 Nb 0.250 0.250 0.250 1
Fe1 Fe 0.000 0.000 0.500 1
```

Summary:
energy of formation from the pure elements	1.37	eV per atom
mass density	6.7	g/cm³
raw total energy	-6.056	eV/atom
size of the total moment	0.00	Bohr magnetons per cell
offset from the most stable computed form	0	meV/atom


# 2
Density functional theory data (PBE) for a geometry-optimized Ir2Os3Rh2 structure.

The structure in CIF format:
```
data_Ir2Os3Rh2
_chemical_formula_sum 'Ir8 Os12 Rh8'
_cell_length_a 7.616
_cell_length_b 7.616
_cell_length_c 7.616
_cell_angle_alpha 90.00
_cell_angle_beta 90.00
_cell_angle_gamma 90.00
_space_group_name_H-M_alt 'I 21 3'
_space_group_IT_number 199
_space_group_name_Hall 'I 2b 2c 3'
loop_
_atom_site_label
_atom_site_type_symbol
_atom_site_fract_x
_atom_site_fract_y
_atom_site_fract_z
_atom_site_occupancy
Ir1 Ir 0.240 0.240 0.240 1
Os1 Os 0.000 0.250 0.989 1
Rh1 Rh 0.075 0.425 0.575 1
```

Summary:
energy of formation from the pure elements	0.57	eV per atom
mass density	17.5	g/cm³
raw total energy	-8.872	eV/atom
size of the total moment	0.00	Bohr magnetons per cell


# 3
Density functional theory data (PBE) for a geometry-optimized Ca3Al2N4 structure.

The structure in CIF format:
```
data_Ca3Al2N4
_chemical_formula_sum 'Ca6 Al4 N8'
_cell_length_a 5.903
_cell_length_b 12.877
_cell_length_c 3.279
_cell_angle_alpha 90.00
_cell_angle_beta 90.00
_cell_angle_gamma 90.00
_space_group_name_H-M_alt 'P n n m'
_space_group_IT_number 58
loop_
_space_group_symop_operation_xyz
'x,y,z'
'-x,-y,-z'
'-x,-y,z'
'x,y,-z'
'x+1/2,-y+1/2,-z+1/2'
'-x+1/2,y+1/2,z+1/2'
'-x+1/2,y+1/2,-z+1/2'
'x+1/2,-y+1/2,z+1/2'
loop_
_atom_site_label
_atom_site_type_symbol
_atom_site_fract_x
_atom_site_fract_y
_atom_site_fract_z
_atom_site_occupancy
Ca1 Ca 0.000 0.000 0.000 1
Ca2 Ca 0.212 0.299 0.500 1
Al1 Al 0.114 0.581 0.000 1
N1 N 0.202 0.657 0.500 1
N2 N 0.213 0.440 0.000 1
```

Summary:
mass density	3.1	g/cm³
raw total energy	-6.304	eV/atom
size of the total moment	0.00	Bohr magnetons per cell
ΔE_f (raw)	-1.105	eV per atom
offset from the most stable computed form	33	meV/atom


Question: Among the records above, which one has the lowest mass density?
Answer: Ca3Al2N4